KLiErF6: relaxed, PBE-GGA.

Unit cell a=5.6646 b=5.6655 c=5.6276 alpha=90.01 beta=90.00 gamma=59.96
Each line ends with the local moment (μB).
Sites, in units of the cell vectors:
K1 0.9999 0.0000 0.0003  0.00
Li1 0.3334 0.3334 0.5000  0.00
Er1 0.6666 0.6666 0.5003  -0.02
F1 0.0109 0.3676 0.2970  0.17
F2 0.3669 0.0112 0.7028  0.16
F3 0.6217 0.3674 0.7030  0.16
F4 0.0108 0.6220 0.7028  0.16
F5 0.3681 0.6212 0.2968  0.17
F6 0.6214 0.0106 0.2969  0.17

Computed properties:
- calculated total energy (eV per atom) = -5.12
- raw formation energy (eV per atom) = -3.03
- total magnetic moment (μB/f.u.) = 1.1
- volume (Å³ per cell) = 156.3

***

YTmGaCo: relaxed, PBE-GGA.

Unit cell a=3.8534 b=4.1949 c=5.6198 alpha=90.00 beta=110.05 gamma=90.00
Sites, in units of the cell vectors:
Y1 0.1442 0.0000 0.2883
Tm1 0.8591 0.5000 0.7182
Ga1 0.5644 0.5000 0.1288
Co1 0.4323 0.0000 0.8647

Computed properties:
- calculated total energy (eV per atom) = -5.67
- total magnetic moment (μB/f.u.) = 0.0
- volume (Å³ per cell) = 85.3
- DFT formation energy (eV/f.u.) = -1.61

***

CoSb2: relaxed, PBE-GGA.

Unit cell a=13.3097 b=13.3097 c=13.3097 alpha=166.36 beta=166.36 gamma=19.33
Each line ends with the local moment (μB).
Sites, in units of the cell vectors:
Co1 0.0000 0.0000 0.0000  0.28
Co2 0.7500 0.2500 0.5000  0.28
Sb1 0.5603 0.5603 0.0000  0.00
Sb2 0.1897 0.6897 0.5000  0.00
Sb3 0.4397 0.4397 0.0000  0.00
Sb4 0.3103 0.8103 0.5000  0.00

Computed properties:
- calculated total energy (eV per atom) = -5.05
- raw formation energy (eV per atom) = 0.07
- total magnetic moment (μB/f.u.) = 0.3
- volume (Å³ per cell) = 131.1

***

Sr2Ca2PaN4: relaxed, PBE-GGA.

Unit cell a=3.5182 b=6.5263 c=9.7851 alpha=109.38 beta=100.36 gamma=90.00
Sites, in units of the cell vectors:
Sr1 0.1674 0.4878 0.3347
Sr2 0.8326 0.5122 0.6653
Ca1 0.6868 0.0358 0.3736
Ca2 0.3132 0.9642 0.6264
Pa1 0.0000 0.0000 0.0000
N1 0.2570 0.2512 0.5141
N2 0.7430 0.7488 0.4859
N3 0.4289 0.8695 0.8579
N4 0.5711 0.1305 0.1421

Computed properties:
- calculated total energy (eV per atom) = -6.46
- raw formation energy (eV per atom) = -0.88
- total magnetic moment (μB/f.u.) = 0.0
- volume (Å³ per cell) = 208.1